Ba2MnPbO6, optimized geometry, DFT PBE with a Hubbard U; calculated density = 7.1 Mg/m³; energy = -6.2527 eV/atom
1.0
-0.311 -3.673 -2.056
-0.587 -2.004 3.669
-8.230 1.098 -0.717
Ba Mn Pb O
2 1 1 6
direct
0.000 0.000 0.734
0.000 0.000 0.266
0.500 0.500 0.500
0.500 0.500 0.000
0.500 0.000 0.000
0.500 0.000 0.500
0.000 0.500 0.000
0.000 0.500 0.500
0.500 0.500 0.731
0.500 0.500 0.269